Arrangement P

AlFe3Pd | PBE | relaxed

a = 4.6141 Å, b = 4.6141 Å, c = 4.6141 Å
α = 90.00°, β = 90.00°, γ = 90.00°
With the nearest neighbours (Å) after each atom.
Fractional coordinates of all 5 atoms:
1 Al 0.0000 0.0000 0.0000  12 Fe 3.26
2 Fe 0.0000 0.5000 0.5000  2 Pd 2.31
3 Fe 0.5000 0.0000 0.5000  2 Pd 2.31
4 Fe 0.5000 0.5000 0.0000  2 Pd 2.31
5 Pd 0.5000 0.5000 0.5000  6 Fe 2.31

- N(E_F): 6.75 states/eV/cell
- Symmetry: Pm-3m (221)

---

Arrangement Q

AlFe3Pd | PBE | relaxed

a = 4.1789 Å, b = 4.1789 Å, c = 4.1789 Å
α = 90.00°, β = 90.00°, γ = 90.00°
With the nearest neighbours (Å) after each atom.
Fractional coordinates of all 5 atoms:
1 Al 0.0000 0.0000 0.0000  6 Fe 2.09
2 Fe 0.0000 0.0000 0.5000  2 Al 2.09
3 Fe 0.0000 0.5000 0.0000  2 Al 2.09
4 Fe 0.5000 0.0000 0.0000  2 Al 2.09
5 Pd 0.5000 0.5000 0.5000  12 Fe 2.95

- N(E_F): 15.32 states/eV/cell
- Symmetry: Pm-3m (221)

---

Winner for stability: arrangement P

---

Arrangement P

Al2Fe2Pt | PBE | relaxed

a = 3.6059 Å, b = 3.6059 Å, c = 11.3228 Å
α = 90.00°, β = 90.00°, γ = 90.00°
With the nearest neighbours (Å) after each atom.
Fractional coordinates of all 10 atoms:
1 Al 0.0000 0.5000 0.2500  4 Fe 2.51, 4 Al 2.55
2 Al 0.0000 0.5000 0.7500  4 Fe 2.51, 4 Al 2.55
3 Al 0.5000 0.0000 0.2500  4 Fe 2.51, 4 Al 2.55
4 Al 0.5000 0.0000 0.7500  4 Fe 2.51, 4 Al 2.55
5 Fe 0.0000 0.0000 0.0962  1 Fe 2.18
6 Fe 0.0000 0.0000 0.9038  1 Fe 2.18
7 Fe 0.5000 0.5000 0.4038  1 Fe 2.18
8 Fe 0.5000 0.5000 0.5962  1 Fe 2.18
9 Pt 0.0000 0.0000 0.5000  8 Fe 2.77
10 Pt 0.5000 0.5000 0.0000  8 Fe 2.77

- N(E_F): 7.83 states/eV/cell
- Symmetry: I4/mmm (139)

---

Arrangement Q

Al2Fe2Pt | PBE | relaxed

a = 6.6068 Å, b = 6.6068 Å, c = 3.1230 Å
α = 90.00°, β = 90.00°, γ = 90.00°
With the nearest neighbours (Å) after each atom.
Fractional coordinates of all 10 atoms:
1 Al 0.1384 0.3616 0.0000  6 Fe 2.45-2.51, 2 Pt 2.56, 1 Al 2.59
2 Al 0.3616 0.8616 0.0000  6 Fe 2.45-2.51, 2 Pt 2.56, 1 Al 2.59
3 Al 0.6384 0.1384 0.0000  6 Fe 2.45-2.51, 2 Pt 2.56, 1 Al 2.59
4 Al 0.8616 0.6384 0.0000  6 Fe 2.45-2.51, 2 Pt 2.56, 1 Al 2.59
5 Fe 0.1590 0.6590 0.5000  6 Al 2.45-2.51
6 Fe 0.3410 0.1590 0.5000  6 Al 2.45-2.51
7 Fe 0.6590 0.8410 0.5000  6 Al 2.45-2.51
8 Fe 0.8410 0.3410 0.5000  6 Al 2.45-2.51
9 Pt 0.0000 0.0000 0.0000  4 Al 2.56
10 Pt 0.5000 0.5000 0.0000  4 Al 2.56

- N(E_F): 5.95 states/eV/cell
- Symmetry: P4/mbm (127)

---

Arrangement R

Al2Fe2Pt | PBE | relaxed

a = 7.0042 Å, b = 7.0042 Å, c = 2.7341 Å
α = 90.00°, β = 90.00°, γ = 90.00°
With the nearest neighbours (Å) after each atom.
Fractional coordinates of all 10 atoms:
1 Al 0.1833 0.3167 0.0000  6 Fe 2.43-2.54
2 Al 0.3167 0.8167 0.0000  6 Fe 2.43-2.54
3 Al 0.6833 0.1833 0.0000  6 Fe 2.43-2.54
4 Al 0.8167 0.6833 0.0000  6 Fe 2.43-2.54
5 Fe 0.1138 0.6138 0.5000  1 Fe 2.25, 2 Al 2.43
6 Fe 0.3862 0.1138 0.5000  1 Fe 2.25, 2 Al 2.43
7 Fe 0.6138 0.8862 0.5000  1 Fe 2.25, 2 Al 2.43
8 Fe 0.8862 0.3862 0.5000  1 Fe 2.25, 2 Al 2.43
9 Pt 0.0000 0.0000 0.5000  2 Pt 2.73, 4 Fe 2.82, 8 Al 2.90
10 Pt 0.5000 0.5000 0.5000  2 Pt 2.73, 4 Fe 2.82, 8 Al 2.90

- N(E_F): 8.30 states/eV/cell
- Symmetry: P4/mbm (127)

---

Winner for stability: arrangement R

---

Arrangement P

AlFePt3 | PBE | relaxed

a = 4.5269 Å, b = 4.5279 Å, c = 7.7247 Å
α = 86.05°, β = 73.00°, γ = 76.73°
With the nearest neighbours (Å) after each atom.
Fractional coordinates of all 10 atoms:
1 Al 0.1487 0.2501 0.2029  8 Pt 2.60-2.73, 2 Fe 2.81
2 Al 0.8513 0.7499 0.7971  8 Pt 2.60-2.73, 2 Fe 2.81
3 Fe 0.3541 0.2498 0.7917  8 Pt 2.58-2.75, 2 Al 2.81
4 Fe 0.6459 0.7502 0.2083  8 Pt 2.58-2.75, 2 Al 2.81
5 Pt 0.0616 0.7502 0.3767  2 Fe 2.58, 2 Al 2.60-2.61, 5 Pt 2.80-2.87
6 Pt 0.2508 0.7496 0.9974  4 Al 2.70-2.73, 4 Fe 2.73-2.75, 4 Pt 2.80-2.82
7 Pt 0.4424 0.7498 0.6152  2 Fe 2.61, 2 Al 2.63, 7 Pt 2.81-2.87
8 Pt 0.5576 0.2502 0.3848  2 Fe 2.61, 2 Al 2.63, 7 Pt 2.81-2.87
9 Pt 0.7492 0.2504 0.0026  4 Al 2.70-2.73, 4 Fe 2.73-2.75, 4 Pt 2.80-2.82
10 Pt 0.9384 0.2498 0.6233  2 Fe 2.58, 2 Al 2.60-2.61, 5 Pt 2.80-2.87

- N(E_F): 5.33 states/eV/cell
- Symmetry: P-1 (2)

---

Arrangement Q

AlFePt3 | PBE | relaxed

a = 4.5868 Å, b = 4.5868 Å, c = 4.5868 Å
α = 90.00°, β = 90.00°, γ = 90.00°
With the nearest neighbours (Å) after each atom.
Fractional coordinates of all 5 atoms:
1 Al 0.0000 0.0000 0.0000  12 Pt 3.24
2 Fe 0.5000 0.5000 0.5000  6 Pt 2.29
3 Pt 0.0000 0.5000 0.5000  2 Fe 2.29
4 Pt 0.5000 0.0000 0.5000  2 Fe 2.29
5 Pt 0.5000 0.5000 0.0000  2 Fe 2.29

- N(E_F): 5.11 states/eV/cell
- Symmetry: Pm-3m (221)

---

Winner for stability: arrangement P

---

Arrangement P

PuAl3Fe | PBE | relaxed

a = 8.2054 Å, b = 3.2599 Å, c = 11.7178 Å
α = 90.00°, β = 90.00°, γ = 90.00°
With the nearest neighbours (Å) after each atom.
Fractional coordinates of all 20 atoms:
1 Pu 0.1035 0.2500 0.0087  2 Pu 2.36
2 Pu 0.3965 0.7500 0.5087  2 Pu 2.36
3 Pu 0.6035 0.2500 0.4913  2 Pu 2.36
4 Pu 0.8965 0.7500 0.9913  2 Pu 2.36
5 Al 0.0649 0.2500 0.4240  3 Fe 2.50-2.53, 5 Al 2.64-2.79
6 Al 0.0823 0.7500 0.2315  2 Fe 2.45-2.58, 4 Al 2.64-2.68
7 Al 0.1696 0.7500 0.7843  2 Fe 2.46, 5 Al 2.64-2.72
8 Al 0.3304 0.2500 0.2843  2 Fe 2.46, 5 Al 2.64-2.72
9 Al 0.4177 0.2500 0.7315  2 Fe 2.45-2.58, 4 Al 2.64-2.68
10 Al 0.4351 0.7500 0.9240  3 Fe 2.50-2.53, 5 Al 2.64-2.79
11 Al 0.5649 0.2500 0.0760  3 Fe 2.50-2.53, 5 Al 2.64-2.79
12 Al 0.5823 0.7500 0.2685  2 Fe 2.45-2.58, 4 Al 2.64-2.68
13 Al 0.6696 0.7500 0.7157  2 Fe 2.46, 5 Al 2.64-2.72
14 Al 0.8304 0.2500 0.2157  2 Fe 2.46, 5 Al 2.64-2.72
15 Al 0.9177 0.2500 0.7685  2 Fe 2.45-2.58, 4 Al 2.64-2.68
16 Al 0.9351 0.7500 0.5760  3 Fe 2.50-2.53, 5 Al 2.64-2.79
17 Fe 0.1586 0.2500 0.6274  7 Al 2.45-2.58
18 Fe 0.3414 0.7500 0.1274  7 Al 2.45-2.58
19 Fe 0.6586 0.2500 0.8726  7 Al 2.45-2.58
20 Fe 0.8414 0.7500 0.3726  7 Al 2.45-2.58

- N(E_F): 22.62 states/eV/cell
- Symmetry: Pnma (62)

---

Arrangement Q

PuAl3Fe | PBE | relaxed

a = 4.5109 Å, b = 4.5109 Å, c = 4.5109 Å
α = 90.00°, β = 90.00°, γ = 90.00°
With the nearest neighbours (Å) after each atom.
Fractional coordinates of all 5 atoms:
1 Pu 0.0000 0.0000 0.0000  12 Al 3.19
2 Al 0.0000 0.5000 0.5000  2 Fe 2.26
3 Al 0.5000 0.0000 0.5000  2 Fe 2.26
4 Al 0.5000 0.5000 0.0000  2 Fe 2.26
5 Fe 0.5000 0.5000 0.5000  6 Al 2.26

- N(E_F): 7.10 states/eV/cell
- Symmetry: Pm-3m (221)

---

Winner for stability: arrangement Q

---

Arrangement P

RbAl2Fe | PBE | relaxed

a = 6.8613 Å, b = 6.8613 Å, c = 6.8613 Å
α = 90.00°, β = 90.00°, γ = 90.00°
With the nearest neighbours (Å) after each atom.
Fractional coordinates of all 16 atoms:
1 Rb 0.0000 0.0000 0.0000  8 Al 2.97
2 Rb 0.0000 0.5000 0.5000  8 Al 2.97
3 Rb 0.5000 0.0000 0.5000  8 Al 2.97
4 Rb 0.5000 0.5000 0.0000  8 Al 2.97
5 Al 0.2500 0.2500 0.2500  4 Fe 2.97, 4 Rb 2.97
6 Al 0.2500 0.2500 0.7500  4 Fe 2.97, 4 Rb 2.97
7 Al 0.2500 0.7500 0.2500  4 Fe 2.97, 4 Rb 2.97
8 Al 0.2500 0.7500 0.7500  4 Fe 2.97, 4 Rb 2.97
9 Al 0.7500 0.2500 0.2500  4 Fe 2.97, 4 Rb 2.97
10 Al 0.7500 0.2500 0.7500  4 Fe 2.97, 4 Rb 2.97
11 Al 0.7500 0.7500 0.2500  4 Fe 2.97, 4 Rb 2.97
12 Al 0.7500 0.7500 0.7500  4 Fe 2.97, 4 Rb 2.97
13 Fe 0.0000 0.0000 0.5000  8 Al 2.97
14 Fe 0.0000 0.5000 0.0000  8 Al 2.97
15 Fe 0.5000 0.0000 0.0000  8 Al 2.97
16 Fe 0.5000 0.5000 0.5000  8 Al 2.97

- N(E_F): 38.43 states/eV/cell
- Symmetry: Fm-3m (225)

---

Arrangement Q

RbAl2Fe | PBE | relaxed

a = 6.0372 Å, b = 6.0372 Å, c = 14.1791 Å
α = 90.00°, β = 90.00°, γ = 90.00°
With the nearest neighbours (Å) after each atom.
Fractional coordinates of all 16 atoms:
1 Rb 0.0000 0.2500 0.3750  8 Al 3.81, 4 Fe 4.27
2 Rb 0.0000 0.7500 0.6250  8 Al 3.81, 4 Fe 4.27
3 Rb 0.5000 0.2500 0.1250  8 Al 3.81, 4 Fe 4.27
4 Rb 0.5000 0.7500 0.8750  8 Al 3.81, 4 Fe 4.27
5 Al 0.0000 0.0000 0.0000  2 Fe 2.33
6 Al 0.0000 0.5000 0.0000  2 Fe 2.33
7 Al 0.2500 0.2500 0.7500  2 Fe 2.33
8 Al 0.2500 0.7500 0.2500  2 Fe 2.33
9 Al 0.5000 0.0000 0.5000  2 Fe 2.33
10 Al 0.5000 0.5000 0.5000  2 Fe 2.33
11 Al 0.7500 0.2500 0.7500  2 Fe 2.33
12 Al 0.7500 0.7500 0.2500  2 Fe 2.33
13 Fe 0.0000 0.2500 0.8750  4 Al 2.33
14 Fe 0.0000 0.7500 0.1250  4 Al 2.33
15 Fe 0.5000 0.2500 0.6250  4 Al 2.33
16 Fe 0.5000 0.7500 0.3750  4 Al 2.33

- N(E_F): 3.18 states/eV/cell
- Symmetry: I4_1/amd (141)

---

Winner for stability: arrangement Q

---

Arrangement P

RbAlFe2 | PBE | relaxed

a = 6.3940 Å, b = 6.3940 Å, c = 6.3940 Å
α = 90.00°, β = 90.00°, γ = 90.00°
With the nearest neighbours (Å) after each atom.
Fractional coordinates of all 16 atoms:
1 Rb 0.0000 0.0000 0.0000  8 Fe 2.77
2 Rb 0.0000 0.5000 0.5000  8 Fe 2.77
3 Rb 0.5000 0.0000 0.5000  8 Fe 2.77
4 Rb 0.5000 0.5000 0.0000  8 Fe 2.77
5 Al 0.0000 0.0000 0.5000  8 Fe 2.77
6 Al 0.0000 0.5000 0.0000  8 Fe 2.77
7 Al 0.5000 0.0000 0.0000  8 Fe 2.77
8 Al 0.5000 0.5000 0.5000  8 Fe 2.77
9 Fe 0.2500 0.2500 0.2500  4 Rb 2.77, 4 Al 2.77
10 Fe 0.2500 0.2500 0.7500  4 Rb 2.77, 4 Al 2.77
11 Fe 0.2500 0.7500 0.2500  4 Rb 2.77, 4 Al 2.77
12 Fe 0.2500 0.7500 0.7500  4 Rb 2.77, 4 Al 2.77
13 Fe 0.7500 0.2500 0.2500  4 Rb 2.77, 4 Al 2.77
14 Fe 0.7500 0.2500 0.7500  4 Rb 2.77, 4 Al 2.77
15 Fe 0.7500 0.7500 0.2500  4 Rb 2.77, 4 Al 2.77
16 Fe 0.7500 0.7500 0.7500  4 Rb 2.77, 4 Al 2.77

- N(E_F): 51.27 states/eV/cell
- Symmetry: Fm-3m (225)

---

Arrangement Q

RbAlFe2 | PBE | relaxed

a = 4.8785 Å, b = 4.8785 Å, c = 17.6927 Å
α = 90.00°, β = 90.00°, γ = 90.00°
With the nearest neighbours (Å) after each atom.
Fractional coordinates of all 16 atoms:
1 Rb 0.0000 0.2500 0.3750  4 Al 3.45, 8 Fe 3.51
2 Rb 0.0000 0.7500 0.6250  4 Al 3.45, 8 Fe 3.51
3 Rb 0.5000 0.2500 0.1250  4 Al 3.45, 8 Fe 3.51
4 Rb 0.5000 0.7500 0.8750  4 Al 3.45, 8 Fe 3.51
5 Al 0.0000 0.2500 0.8750  4 Fe 2.53
6 Al 0.0000 0.7500 0.1250  4 Fe 2.53
7 Al 0.5000 0.2500 0.6250  4 Fe 2.53
8 Al 0.5000 0.7500 0.3750  4 Fe 2.53
9 Fe 0.0000 0.0000 0.0000  2 Fe 2.44, 2 Al 2.53
10 Fe 0.0000 0.5000 0.0000  2 Fe 2.44, 2 Al 2.53
11 Fe 0.2500 0.2500 0.7500  2 Fe 2.44, 2 Al 2.53
12 Fe 0.2500 0.7500 0.2500  2 Fe 2.44, 2 Al 2.53
13 Fe 0.5000 0.0000 0.5000  2 Fe 2.44, 2 Al 2.53
14 Fe 0.5000 0.5000 0.5000  2 Fe 2.44, 2 Al 2.53
15 Fe 0.7500 0.2500 0.7500  2 Fe 2.44, 2 Al 2.53
16 Fe 0.7500 0.7500 0.2500  2 Fe 2.44, 2 Al 2.53

- N(E_F): 21.68 states/eV/cell
- Symmetry: I4_1/amd (141)

---

Winner for stability: arrangement Q